The following is a DFT calculation (GGA-PBE) of BaRu2RhO8 after structural relaxation.

abc: 5.3124 5.3124 7.5914
angles: 90.00 90.00 120.00
Space group P-3 (No. 147)
Unique sites:
1 Ba 0.0000 0.0000 0.0000
2 Ru 0.3333 0.6667 0.7190
3 Rh 0.0000 0.0000 0.5000
4 O 0.0225 0.3087 0.6672
5 O 0.3333 0.6667 0.9564

Results
- Total energy: -6.72 eV/atom